Entry 1:
Below is a relaxed Li2Mg2Cd5 crystal, with properties calculated at the PBE level.

Results
density of states at the Fermi level = 6.5 states/eV per cell
energy relative to the lowest polymorph listed for this composition = 68.8 meV per atom

```
Li2Mg2Cd5
1.0
7.7376 0.0000 0.0000
0.0000 5.9717 0.0000
-3.8688 -2.9858 8.3229
Cd Li Mg
10 4 4
Cartesian
-1.9332 1.7157 6.5041
4.2370 0.2229 4.1614
5.8019 4.7015 1.8188
-0.3682 3.2087 4.1615
1.9328 1.7166 5.6634
1.9360 -1.2692 5.6634
1.9360 4.7024 2.6595
-1.9356 -1.2702 6.5041
5.8044 1.7157 1.8188
1.9328 1.7166 2.6595
1.0916 3.2104 0.5715
2.7772 0.2246 0.5715
2.7772 0.2246 7.7514
1.0916 -2.7612 7.7514
0.0000 0.2206 0.0000
4.3073 3.2067 4.1614
-0.4385 0.2209 4.1614
3.8688 3.2065 0.0000
```

Entry 2:
Below is a relaxed FeSi2Ir crystal, with properties calculated at the PBE level.

Results
density of states at the Fermi level = 2.3 states/eV per cell
raw formation energy = -0.386 eV per atom

```
FeSi2Ir
1.0
-2.1765 -2.2024 2.6975
-3.0136 -2.4605 -1.3145
0.4585 -4.0775 0.1667
Fe Si Ir
1 2 1
Cartesian
0.0000 0.0000 0.0000
-3.5487 -6.5552 1.1622
-1.1829 -2.1851 0.3874
-2.3658 -4.3702 0.7748
```

Entry 3:
Below is a relaxed SrYOs2 crystal, with properties calculated at the PBE level.

Results
density of states at the Fermi level = 3.6 states/eV per cell
energy relative to the lowest polymorph listed for this composition = 595.9 meV per atom

```
SrYOs2
1.0
-0.8990 1.5345 2.4836
-2.3538 -0.5354 -1.8719
-1.6603 -8.1029 4.4052
Os Sr Y
2 1 1
Cartesian
-1.6374 -7.9911 4.3445
-0.8530 -4.1632 2.2634
-2.0415 -1.5262 1.4071
-2.8716 -5.5776 3.6098
```

Entry 4:
Below is a relaxed TiCuF2 crystal, with properties calculated at the PBE level.

Results
density of states at the Fermi level = 5.2 states/eV per cell
raw formation energy = -1.340 eV per atom
energy relative to the lowest polymorph listed for this composition = 47.2 meV per atom

```
TiCuF2
1.0
-3.2720 -2.1553 0.5184
2.0290 -2.5396 2.2481
-2.1711 1.3444 6.9524
F Ti Cu
4 2 2
Cartesian
-2.8921 -2.8792 7.4398
-2.0501 -1.1413 2.2981
0.0323 -1.7077 3.2529
-1.9183 -0.9727 6.4469
-0.6215 -2.3474 1.3832
-0.3818 -1.7713 5.2918
-3.0323 -1.5791 4.4270
0.0000 0.0000 0.0000
```

Entry 5:
Below is a relaxed AlOsW2 crystal, with properties calculated at the PBE level.

Results
density of states at the Fermi level = 3.3 states/eV per cell
energy = -40.9 eV for the cell shown

```
AlOsW2
1.0
3.1495 0.0000 0.0000
0.0000 3.1494 0.0000
0.0000 0.0000 6.1333
W Al Os
2 1 1
Cartesian
1.5748 1.5747 1.5286
0.0000 0.0000 0.0223
0.0000 0.0000 3.0933
1.5748 1.5747 4.5558
```

Entry 6:
Below is a relaxed SmZrSc crystal, with properties calculated at the PBE level.

Results
density of states at the Fermi level = 4.7 states/eV per cell
energy relative to the lowest polymorph listed for this composition = 42.0 meV per atom

```
SmZrSc
1.0
3.2996 0.0000 0.0000
0.0000 3.2996 0.0000
-1.6498 -1.6498 7.3312
Sm Zr Sc
1 1 1
Cartesian
1.6498 1.6498 7.2668
0.0000 0.0000 4.7664
1.6498 1.6498 2.6292
```

Entry 7:
Below is a relaxed LiTbEuZn crystal, with properties calculated at the PBE level.

Results
density of states at the Fermi level = 4.4 states/eV per cell
energy = -18.4 eV for the cell shown

```
LiTbEuZn
1.0
-3.6640 1.0280 3.6371
0.6651 -1.6640 4.9497
0.9956 3.4694 3.8318
Zn Li Eu Tb
1 1 1 1
Cartesian
0.0000 0.0000 0.0000
-1.0017 1.4167 6.2093
-1.5025 2.1250 9.3139
-0.5008 0.7083 3.1046
```

Entry 8:
Below is a relaxed CrHg5 crystal, with properties calculated at the PBE level.

Results
density of states at the Fermi level = 3.3 states/eV per cell
energy = -8.5 eV for the cell shown

```
CrHg5
1.0
-3.0809 -2.2467 4.6559
-6.0146 -0.1328 -0.1548
-2.8805 -5.2550 -0.5525
Hg Cr
5 1
Cartesian
-4.4871 -2.8604 1.4795
-7.5022 -2.9270 1.4019
-8.9820 -5.7258 2.9615
-6.0316 -3.9867 3.8135
-5.9311 -5.4948 1.2025
0.0000 0.0000 0.0000
```

Entry 9:
Below is a relaxed AcPm4Pr crystal, with properties calculated at the PBE level.

Results
density of states at the Fermi level = 8.5 states/eV per cell
energy relative to the lowest polymorph listed for this composition = 0.0 meV per atom

```
AcPm4Pr
1.0
5.2228 0.0000 0.0000
0.0000 3.6514 -0.7956
0.0000 -1.2830 11.6941
Pm Pr Ac
4 1 1
Cartesian
2.6114 0.1532 9.5060
2.6114 2.2152 1.3925
0.0000 0.7725 3.5570
0.0000 1.5959 7.3415
0.0000 0.0000 0.0000
2.6114 -0.6415 5.8471
```

Entry 10:
Below is a relaxed Nd4SnTeC crystal, with properties calculated at the PBE level.

Results
density of states at the Fermi level = 11.0 states/eV per cell
raw formation energy = -0.646 eV per atom

```
Nd4SnTeC
1.0
-5.6391 3.0573 -2.9954
-4.2105 -2.9940 4.8706
3.7801 4.9719 6.3241
Te Nd C Sn
2 8 2 2
Cartesian
-5.7651 0.7199 3.2220
-0.3044 4.3152 4.9772
-0.2152 0.9889 5.5974
-2.3751 3.0515 7.5857
-2.9860 -1.0825 4.5165
-3.0834 6.1177 3.6828
-0.9295 4.0146 1.6643
1.8901 2.4860 3.1620
-3.6943 1.9837 0.6135
-3.0347 2.5176 4.0996
-2.6808 0.9830 6.0500
-3.3887 4.0521 2.1492
-0.8425 0.6732 2.2732
-5.2269 4.3619 5.9260
```

Entry 11:
Below is a relaxed Cr2FeC crystal, with properties calculated at the PBE level.

Results
density of states at the Fermi level = 5.0 states/eV per cell
energy = -35.3 eV for the cell shown

```
Cr2FeC
1.0
-2.5047 0.5885 0.9802
-0.4867 -0.1383 2.7065
0.8297 6.8109 1.8978
C Fe Cr
1 1 2
Cartesian
-1.0809 3.6305 2.7922
0.0000 0.0000 0.0000
-2.3696 2.7174 3.9144
0.2079 4.5437 1.6701
```

Entry 12:
Below is a relaxed Ce2Nd2Co3 crystal, with properties calculated at the PBE level.

Results
density of states at the Fermi level = 6.7 states/eV per cell
energy = -43.7 eV for the cell shown

```
Ce2Nd2Co3
1.0
3.8623 0.0697 1.1164
1.9682 5.6012 0.6887
-0.6752 0.0556 6.9284
Ce Co Nd
2 3 2
Cartesian
1.3654 1.7437 6.9026
3.7899 3.9828 1.8310
0.0000 0.0000 0.0000
4.9463 3.8310 3.7844
0.2090 1.8955 4.9492
2.8090 1.2836 3.5435
2.3464 4.4429 5.1900
```